The following is a DFT calculation (PBE) of an optimized crystal structure of In3AgHg6.

Output
Raw total energy = -1.259 eV/atom
Space-group type = P2_1/m
Offset from the most stable computed form = 0.00 kJ/mol of atoms

a = 8.936 Å, b = 4.046 Å, c = 14.908 Å
α = 90.00°, β = 105.36°, γ = 90.00°
Positions (direct):
1 In 0.100 0.250 0.106
2 In 0.184 0.750 0.514
3 In 0.275 0.750 0.271
4 In 0.725 0.250 0.729
5 In 0.816 0.250 0.486
6 In 0.900 0.750 0.894
7 Ag 0.425 0.250 0.933
8 Ag 0.575 0.750 0.067
9 Hg 0.034 0.250 0.353
10 Hg 0.112 0.250 0.809
11 Hg 0.238 0.750 0.994
12 Hg 0.322 0.250 0.672
13 Hg 0.431 0.250 0.424
14 Hg 0.484 0.250 0.183
15 Hg 0.516 0.750 0.817
16 Hg 0.569 0.750 0.576
17 Hg 0.678 0.750 0.328
18 Hg 0.762 0.250 0.006
19 Hg 0.888 0.750 0.191
20 Hg 0.966 0.750 0.647